# 1
6
Lattice="-3.967 0.595 3.289 -3.800 -3.528 0.145 -0.464 -3.144 4.100" Properties=species:S:1:pos:R:3 comment="RuPt4Se, PBEsol geometry, DFT SCAN" e_tot_ev_per_cell=-332.20 volume_a3_per_atom=16.45 e_form_raw_mev_per_atom=579 pbc="T T T"
Pt -4.911 -2.229 2.662
Pt -3.163 -4.094 3.066
Pt -3.247 -2.037 4.634
Pt -5.142 -3.797 4.707
Ru -2.058 -1.520 1.884
Se 0.000 0.000 0.000

=====

# 2
4
Lattice="-0.053 0.729 -2.729 -0.993 -4.683 0.231 -4.458 1.921 0.599" Properties=species:S:1:pos:R:3 comment="ZrReRu2, PBEsol geometry, DFT SCAN" formation_enthalpy_0k_kcal_per_mol_atoms=0.2 e_tot_ev_per_cell=-171.41 volume_a3_per_atom=15.51 relative_energy_mev_per_atom=88 pbc="T T T"
Re -0.026 0.364 -1.365
Ru -4.046 -0.368 -1.483
Ru -1.458 -1.665 -0.416
Zr -2.229 0.961 0.300

=====

# 3
4
Lattice="-0.234 3.388 -2.297 -3.553 -1.311 -1.570 -2.444 2.286 3.621" Properties=species:S:1:pos:R:3 comment="Hg2TeMo, PBEsol geometry, DFT SCAN" e_tot_ev_per_cell=-205.87 volume_a3_per_atom=20.72 e_form_raw_mev_per_atom=649 pbc="T T T"
Hg -1.777 -0.655 -0.785
Hg -0.117 1.694 -1.149
Mo -3.116 2.182 -0.123
Te -1.222 1.143 1.811

=====

# 4
4
Lattice="4.642 0.000 0.000 2.321 4.020 0.000 2.321 1.340 3.790" Properties=species:S:1:pos:R:3 comment="TlGa2Mo, PBEsol geometry, DFT SCAN" formation_enthalpy_0k_kcal_per_mol_atoms=17.6 e_tot_ev_per_cell=-136.89 volume_a3_per_atom=17.69 pbc="T T T"
Tl 4.642 2.680 1.895
Mo 0.000 0.000 0.000
Ga 2.321 1.340 0.948
Ga 6.963 4.020 2.843

=====

# 5
3
Lattice="-2.260 0.172 3.616 0.422 -3.075 2.929 1.956 0.832 3.701" Properties=species:S:1:pos:R:3 comment="YCrFe, PBEsol geometry, DFT SCAN" formation_enthalpy_0k_kcal_per_mol_atoms=13.2 e_tot_ev_per_cell=-62.64 volume_a3_per_atom=18.32 pbc="T T T"
Cr 0.059 -1.036 5.123
Fe 0.089 -1.553 7.685
Y 0.000 0.000 0.000

=====

# 6
3
Lattice="4.232 0.000 0.000 0.000 4.655 0.000 0.000 -2.327 4.031" Properties=species:S:1:pos:R:3 comment="SrTcPb, PBEsol geometry, DFT SCAN" formation_enthalpy_0k_kcal_per_mol_atoms=8.2 e_tot_ev_per_cell=-132.04 volume_a3_per_atom=26.47 relative_energy_mev_per_atom=0 pbc="T T T"
Pb 2.116 0.000 0.000
Sr 0.000 0.000 2.687
Tc 2.116 2.327 1.344

=====

# 7
48
Lattice="11.523 0.000 0.000 0.000 11.523 0.000 -5.762 -5.762 10.748" Properties=species:S:1:pos:R:3 comment="ZnBr2, PBEsol geometry, DFT SCAN" e_tot_ev_per_cell=-885.23 volume_a3_per_atom=29.73 e_form_raw_mev_per_atom=-964 pbc="T T T"
Zn -4.522 -4.315 9.400
Zn 4.315 -1.239 4.026
Zn -1.239 1.446 9.400
Zn -1.446 7.001 4.026
Zn 4.522 1.446 6.722
Zn 7.208 7.001 1.348
Zn 7.001 -1.446 6.722
Zn 4.315 4.522 1.348
Zn 4.522 4.315 9.400
Zn 7.208 1.239 4.026
Zn -1.239 4.315 6.722
Zn 10.077 1.239 1.348
Zn 1.446 10.284 1.348
Zn 1.239 7.208 6.722
Zn 1.446 4.522 4.026
Zn 1.239 -1.446 9.400
Br -2.645 2.881 8.061
Br 2.812 -0.199 10.741
Br 0.199 2.949 5.367
Br 0.000 0.000 7.929
Br -2.812 0.199 10.741
Br 2.949 0.199 5.381
Br 5.562 2.949 0.007
Br 5.762 5.762 7.929
Br 11.324 2.812 0.007
Br 5.562 -2.812 5.367
Br 5.762 0.000 8.193
Br 8.642 2.645 2.687
Br -2.949 -5.562 10.741
Br 3.116 2.881 8.061
Br 0.000 5.762 8.193
Br 2.881 8.878 2.687
Br 2.881 3.116 2.687
Br -3.116 -2.881 8.061
Br 5.961 8.574 0.007
Br 2.949 5.562 10.741
Br 5.762 0.000 2.555
Br -0.199 8.574 5.367
Br -2.812 5.562 5.381
Br 2.812 5.961 5.381
Br 0.000 5.762 2.555
Br 5.961 2.812 5.367
Br 2.645 -2.881 8.061
Br 0.000 0.000 2.819
Br 8.574 -0.199 5.381
Br 8.642 8.407 2.687
Br 5.762 5.762 2.819
Br 0.199 8.711 0.007

=====

# 8
12
Lattice="6.957 0.000 0.000 0.000 6.957 0.000 0.000 0.000 6.957" Properties=species:S:1:pos:R:3 comment="Hg2Sb, PBEsol geometry, DFT SCAN" e_tot_ev_per_cell=-693.86 volume_a3_per_atom=28.06 relative_energy_mev_per_atom=0 e_form_raw_mev_per_atom=42 pbc="T T T"
Hg 0.863 4.342 6.094
Hg 6.094 2.615 0.863
Hg 4.342 6.094 0.863
Hg 2.615 0.863 6.094
Hg 6.094 0.863 4.342
Hg 0.863 6.094 2.615
Hg 2.615 2.615 2.615
Hg 4.342 4.342 4.342
Sb 3.479 0.000 3.479
Sb 0.000 3.479 3.479
Sb 0.000 0.000 0.000
Sb 3.479 3.479 0.000

=====

# 9
3
Lattice="2.959 0.000 0.000 0.000 2.959 0.000 -1.480 -1.480 4.448" Properties=species:S:1:pos:R:3 comment="AlCrTc, PBEsol geometry, DFT SCAN" formation_enthalpy_0k_kcal_per_mol_atoms=-8.6 e_tot_ev_per_cell=-62.32 volume_a3_per_atom=12.98 relative_energy_mev_per_atom=0 pbc="T T T"
Cr 1.480 1.480 1.566
Tc 0.000 0.000 2.857
Al 0.000 0.000 0.025

=====

# 10
5
Lattice="4.889 0.000 0.000 0.000 4.889 0.000 0.000 0.000 4.889" Properties=species:S:1:pos:R:3 comment="NaHfBe3, PBEsol geometry, DFT SCAN" formation_enthalpy_0k_kcal_per_mol_atoms=34.5 e_tot_ev_per_cell=-72.46 volume_a3_per_atom=23.37 relative_energy_mev_per_atom=210 pbc="T T T"
Na 2.444 2.444 2.444
Hf 0.000 0.000 0.000
Be 0.000 2.444 0.000
Be 0.000 0.000 2.444
Be 2.444 0.000 0.000

=====

# 11
5
Lattice="4.414 0.000 0.000 0.000 4.881 0.000 0.000 0.000 4.881" Properties=species:S:1:pos:R:3 comment="SiTcHgOs2, PBEsol geometry, DFT SCAN" e_tot_ev_per_cell=-242.01 volume_a3_per_atom=21.03 e_form_raw_mev_per_atom=2997 pbc="T T T"
Si 2.207 0.000 0.000
Os 0.000 0.000 2.440
Os 0.000 2.440 0.000
Hg 0.000 0.000 0.000
Tc 2.207 2.440 2.440

=====

# 12
4
Lattice="-3.747 3.578 0.948 -4.415 -1.410 2.502 -0.879 1.652 4.924" Properties=species:S:1:pos:R:3 comment="SmDyIn2, PBEsol geometry, DFT SCAN" formation_enthalpy_0k_kcal_per_mol_atoms=-14.6 e_tot_ev_per_cell=-161.54 volume_a3_per_atom=25.84 pbc="T T T"
Dy 0.000 0.000 0.000
Sm -4.521 1.910 4.187
In -6.781 2.865 6.281
In -2.260 0.955 2.094

=====

# 13
5
Lattice="-0.526 -3.350 0.403 3.373 -0.530 -0.007 0.114 0.655 5.597" Properties=species:S:1:pos:R:3 comment="BeTlH2Rh, PBEsol geometry, DFT SCAN" e_tot_ev_per_cell=-113.24 volume_a3_per_atom=13.15 pbc="T T T"
Be 0.057 0.328 2.798
Tl 0.000 0.000 0.000
Rh 1.481 -1.612 2.997
H 1.687 -0.265 -0.003
H -0.263 -1.675 0.201

=====

# 14
4
Lattice="2.581 0.000 0.000 0.000 4.477 0.000 0.000 -1.520 4.211" Properties=species:S:1:pos:R:3 comment="Co2TcMo, PBEsol geometry, DFT SCAN" formation_enthalpy_0k_kcal_per_mol_atoms=3.9 e_tot_ev_per_cell=-103.88 volume_a3_per_atom=12.16 relative_energy_mev_per_atom=66 pbc="T T T"
Mo 1.290 0.000 0.000
Co 0.000 2.239 0.000
Co 0.000 -0.760 2.105
Tc 1.290 1.478 2.105

=====

# 15
4
Lattice="3.758 0.000 0.000 0.000 3.758 0.000 0.000 0.000 5.395" Properties=species:S:1:pos:R:3 comment="ZrAg2Se, PBEsol geometry, DFT SCAN" e_tot_ev_per_cell=-114.32 volume_a3_per_atom=19.04 e_form_raw_mev_per_atom=-202 pbc="T T T"
Ag 0.000 0.000 4.023
Ag 0.000 0.000 1.372
Se 1.879 1.879 0.000
Zr 1.879 1.879 2.698

=====

# 16
5
Lattice="4.434 0.000 0.000 0.000 4.664 0.000 0.000 0.000 4.664" Properties=species:S:1:pos:R:3 comment="MgFe2GeS, PBEsol geometry, DFT SCAN" e_tot_ev_per_cell=-64.13 volume_a3_per_atom=19.28 e_form_raw_mev_per_atom=1163 pbc="T T T"
S 2.217 0.000 0.000
Ge 2.217 2.332 2.332
Mg 0.000 0.000 0.000
Fe 0.000 0.000 2.332
Fe 0.000 2.332 0.000

=====

# 17
5
Lattice="-3.494 2.191 1.071 -2.419 -2.875 -2.010 -0.333 -2.418 3.860" Properties=species:S:1:pos:R:3 comment="BeInB2O, PBEsol geometry, DFT SCAN" e_tot_ev_per_cell=-47.76 volume_a3_per_atom=16.58 e_form_raw_mev_per_atom=2214 pbc="T T T"
Be -0.166 -1.209 1.930
B -1.210 -1.437 -1.005
B -1.747 1.096 0.536
O -3.123 -1.551 1.461
In 0.000 0.000 0.000

=====

# 18
5
Lattice="-2.644 -3.440 -2.298 -2.196 -1.526 4.811 -4.085 3.619 -0.717" Properties=species:S:1:pos:R:3 comment="SbHRuI2, PBEsol geometry, DFT SCAN" e_tot_ev_per_cell=-145.12 volume_a3_per_atom=29.75 pbc="T T T"
I -2.042 1.809 -0.358
I -1.098 -0.763 2.405
Sb -1.322 -1.720 -1.149
H -4.462 -0.673 0.898
Ru 0.000 0.000 0.000

=====

# 19
4
Lattice="-1.228 2.598 -0.588 -0.303 -0.927 -3.464 -5.483 -2.343 1.105" Properties=species:S:1:pos:R:3 comment="ScTaIr2, PBEsol geometry, DFT SCAN" formation_enthalpy_0k_kcal_per_mol_atoms=-20.5 e_tot_ev_per_cell=-226.57 volume_a3_per_atom=16.00 pbc="T T T"
Sc -0.765 0.836 -2.026
Ir -4.081 -1.744 0.823
Ir -1.402 -0.599 0.283
Ta -3.507 -0.336 -1.473

=====

# 20
12
Lattice="4.700 0.000 0.000 0.000 5.818 0.000 0.000 0.000 8.328" Properties=species:S:1:pos:R:3 comment="Zr2Tc, PBEsol geometry, DFT SCAN" formation_enthalpy_0k_kcal_per_mol_atoms=-5.9 e_tot_ev_per_cell=-388.90 volume_a3_per_atom=18.98 relative_energy_mev_per_atom=91 pbc="T T T"
Tc 3.525 1.910 3.531
Tc 1.175 0.999 7.695
Tc 3.525 4.819 0.633
Tc 1.175 3.908 4.796
Zr 3.525 5.711 6.527
Zr 1.175 3.016 2.363
Zr 3.525 2.802 5.965
Zr 1.175 0.107 1.801
Zr 3.525 4.781 3.482
Zr 1.175 3.945 7.646
Zr 3.525 1.873 0.682
Zr 1.175 1.036 4.845

=====

# 21
4
Lattice="4.367 0.000 0.000 2.183 3.782 0.000 2.183 1.261 3.565" Properties=species:S:1:pos:R:3 comment="BeRhCl2, PBEsol geometry, DFT SCAN" e_tot_ev_per_cell=-51.19 volume_a3_per_atom=14.72 relative_energy_mev_per_atom=1028 e_form_raw_mev_per_atom=723 pbc="T T T"
Be 4.367 2.521 1.783
Rh 2.183 1.261 0.891
Cl 0.000 0.000 0.000
Cl 6.550 3.782 2.674

=====

# 22
34
Lattice="-6.266 -2.233 1.205 0.994 0.238 -6.683 3.459 -8.424 0.545" Properties=species:S:1:pos:R:3 comment="FeP4O12, PBEsol geometry, DFT SCAN" e_tot_ev_per_cell=-339.46 volume_a3_per_atom=11.58 relative_energy_mev_per_atom=20 e_form_raw_mev_per_atom=-2072 pbc="T T T"
Fe -0.879 -7.600 -1.420
Fe -0.934 -2.819 -3.512
P -1.773 -5.817 -4.013
P -4.031 -1.785 -3.711
P -3.378 -6.427 -0.171
P -0.423 -0.620 -5.534
P -0.040 -4.601 -0.919
P -1.390 -9.798 0.602
P 2.218 -8.633 -1.221
P 1.565 -3.992 -4.761
O -2.783 -2.491 -3.248
O -0.995 -2.004 -5.142
O -1.472 -1.052 -0.451
O -1.931 -6.655 -5.351
O -2.671 -7.375 -1.169
O -0.562 -1.150 -2.748
O -1.211 -4.454 -4.380
O 3.257 -7.496 -0.839
O -0.818 -8.415 0.210
O 1.528 -5.437 -4.579
O -0.602 -5.964 -0.552
O 1.425 -4.866 -1.447
O 0.970 -7.928 -1.684
O -0.848 -3.746 -1.860
O -4.254 -2.605 -0.449
O -5.070 -2.923 -4.093
O -0.341 -9.367 -4.481
O 0.118 -3.763 0.419
O -3.341 -4.981 -0.353
O 0.858 -3.044 -3.763
O -3.237 -5.552 -3.485
O 2.441 -7.814 -4.483
O -0.965 -6.672 -3.072
O -1.251 -9.269 -2.184

=====

# 23
6
Lattice="-5.298 0.250 -1.365 -3.326 -4.196 1.152 -3.811 0.517 3.899" Properties=species:S:1:pos:R:3 comment="SbAs4Pt, PBEsol geometry, DFT SCAN" e_tot_ev_per_cell=-184.21 volume_a3_per_atom=19.36 e_form_raw_mev_per_atom=668 pbc="T T T"
Sb 0.000 0.000 0.000
As -4.685 -1.292 1.388
As -6.564 -1.037 3.311
As -7.298 -1.169 0.715
As -6.325 -3.361 1.957
Pt -9.327 -2.572 2.764

=====

# 24
5
Lattice="-1.526 3.751 3.525 2.036 -2.937 4.006 4.911 2.572 -0.611" Properties=species:S:1:pos:R:3 comment="GaBi2TeCl, PBEsol geometry, DFT SCAN" e_tot_ev_per_cell=-215.13 volume_a3_per_atom=32.15 e_form_raw_mev_per_atom=721 pbc="T T T"
Te 2.456 1.286 -0.305
Bi 1.018 -1.469 2.003
Bi -0.763 1.875 1.763
Ga 2.711 1.693 3.461
Cl 0.000 0.000 0.000

=====

# 25
6
Lattice="3.319 0.000 0.000 -1.659 5.589 -0.043 0.000 -2.260 7.084" Properties=species:S:1:pos:R:3 comment="Sc5Ag, PBEsol geometry, DFT SCAN" formation_enthalpy_0k_kcal_per_mol_atoms=-1.1 e_tot_ev_per_cell=-102.84 volume_a3_per_atom=21.85 relative_energy_mev_per_atom=11 pbc="T T T"
Sc 0.000 3.723 1.754
Sc 1.659 1.190 2.379
Sc 0.000 -0.638 4.160
Sc 0.000 2.364 4.941
Sc 1.659 0.032 6.588
Ag 0.000 -0.032 0.150